(1)
VASP calculation (PBE) on crystalline Er4ZnGa2 at its relaxed geometry.

## Properties
Magnetic moment   0.04 μB per formula unit
Symmetry   I4/mmm, No. 139
Density   8.38 Mg/m³

Unit cell a=6.082 b=6.082 c=6.082 alpha=108.45 beta=109.98 gamma=109.98
Sites, in units of the cell vectors:
Er 0.500 0.000 0.000
Er 0.500 0.500 0.500
Er 0.000 0.000 0.500
Er 0.000 0.500 0.000
Zn 0.000 0.000 0.000
Ga 0.500 0.500 0.000
Ga 0.500 0.000 0.500


(2)
VASP calculation (PBE) on crystalline Er4ZnGa2 at its relaxed geometry.

## Properties
Magnetic moment   0.00 μB per formula unit
Symmetry   C2/m, No. 12
Density   8.21 Mg/m³

Unit cell a=3.506 b=6.947 c=8.246 alpha=115.18 beta=102.28 gamma=90.00
Sites, in units of the cell vectors:
Er 0.906 0.265 0.812
Er 0.094 0.735 0.188
Er 0.632 0.340 0.265
Er 0.368 0.660 0.735
Zn 0.000 0.000 0.000
Ga 0.754 0.818 0.508
Ga 0.246 0.182 0.492


Which one sits at the top of the stability order? (1) does.


(1)
VASP calculation (PBE) on crystalline ErZrGa at its relaxed geometry.

## Properties
Magnetic moment   0.00 μB per formula unit
Symmetry   P3m1, No. 156
Density   7.75 Mg/m³

Unit cell a=3.488 b=4.826 c=4.826 alpha=120.00 beta=90.00 gamma=90.00
Sites, in units of the cell vectors:
Ga 0.561 0.667 0.333
Zr 0.460 0.333 0.667
Er 0.979 0.000 0.000


(2)
VASP calculation (PBE) on crystalline ErZrGa at its relaxed geometry.

## Properties
Magnetic moment   0.00 μB per formula unit
Symmetry   I4mm, No. 107
Density   7.97 Mg/m³

Unit cell a=3.320 b=3.320 c=6.633 alpha=104.49 beta=104.49 gamma=90.00
Sites, in units of the cell vectors:
Zr 0.935 0.935 0.870
Ga 0.289 0.289 0.578
Er 0.626 0.626 0.252


Which one sits at the top of the stability order? (2) does.


(1)
VASP calculation (PBE) on crystalline ErZrGa at its relaxed geometry.

## Properties
Magnetic moment   0.00 μB per formula unit
Symmetry   P2_1/m, No. 11
Density   7.87 Mg/m³

Unit cell a=3.426 b=3.420 c=12.312 alpha=106.19 beta=90.00 gamma=90.00
Sites, in units of the cell vectors:
Er 0.750 0.366 0.615
Er 0.250 0.634 0.385
Zr 0.250 0.334 0.084
Zr 0.750 0.666 0.916
Ga 0.250 0.023 0.773
Ga 0.750 0.977 0.227


(2)
VASP calculation (PBE) on crystalline ErZrGa at its relaxed geometry.

## Properties
Magnetic moment   0.00 μB per formula unit
Symmetry   P4/nmm, No. 129
Density   7.67 Mg/m³

Unit cell a=3.809 b=3.809 c=9.789 alpha=90.00 beta=90.00 gamma=90.00
Sites, in units of the cell vectors:
Ga 0.000 0.500 0.568
Ga 0.500 0.000 0.432
Er 0.500 0.000 0.737
Er 0.000 0.500 0.263
Zr 0.000 0.500 0.933
Zr 0.500 0.000 0.067


Which one sits at the top of the stability order? (1) does.


(1)
VASP calculation (PBE) on crystalline Er2Zr3Ga4 at its relaxed geometry.

## Properties
Magnetic moment   0.00 μB per formula unit
Symmetry   Cmce, No. 64
Density   7.41 Mg/m³

Unit cell a=6.273 b=8.189 c=8.348 alpha=90.00 beta=112.07 gamma=90.00
Sites, in units of the cell vectors:
Er 0.113 0.588 0.226
Er 0.887 0.412 0.774
Er 0.387 0.088 0.774
Er 0.613 0.912 0.226
Zr 0.000 0.000 0.000
Zr 0.500 0.500 0.000
Zr 0.543 0.750 0.587
Zr 0.957 0.250 0.413
Zr 0.457 0.250 0.413
Zr 0.043 0.750 0.587
Ga 0.720 0.750 0.940
Ga 0.780 0.250 0.060
Ga 0.280 0.250 0.060
Ga 0.220 0.750 0.940
Ga 0.183 0.946 0.366
Ga 0.817 0.054 0.634
Ga 0.317 0.446 0.634
Ga 0.683 0.554 0.366


(2)
VASP calculation (PBE) on crystalline Er2Zr3Ga4 at its relaxed geometry.

## Properties
Magnetic moment   0.36 μB per formula unit
Symmetry   P2_1/c, No. 14
Density   7.57 Mg/m³

Unit cell a=7.220 b=7.508 c=7.539 alpha=90.00 beta=90.00 gamma=107.85
Sites, in units of the cell vectors:
Er 0.570 0.191 0.327
Er 0.930 0.809 0.827
Er 0.430 0.809 0.673
Er 0.070 0.191 0.173
Zr 0.000 0.500 0.500
Zr 0.500 0.500 0.000
Zr 0.748 0.248 0.820
Zr 0.752 0.752 0.320
Zr 0.252 0.752 0.180
Zr 0.248 0.248 0.680
Ga 0.863 0.080 0.535
Ga 0.637 0.920 0.035
Ga 0.137 0.920 0.465
Ga 0.363 0.080 0.965
Ga 0.871 0.492 0.124
Ga 0.629 0.508 0.624
Ga 0.129 0.508 0.876
Ga 0.371 0.492 0.376


Which one sits at the top of the stability order? (2) does.


(1)
VASP calculation (PBE) on crystalline Gd2ErGe at its relaxed geometry.

## Properties
Magnetic moment   14.79 μB per formula unit
Symmetry   P4/mmm, No. 123
Density   8.62 Mg/m³

Unit cell a=4.010 b=4.010 c=6.643 alpha=90.00 beta=90.00 gamma=90.00
Sites, in units of the cell vectors:
Ge 0.500 0.500 0.000
Gd 0.000 0.000 0.781
Gd 0.000 0.000 0.219
Er 0.500 0.500 0.500


(2)
VASP calculation (PBE) on crystalline Gd2ErGe at its relaxed geometry.

## Properties
Magnetic moment   14.43 μB per formula unit
Symmetry   R-3m, No. 166
Density   7.57 Mg/m³

Unit cell a=3.487 b=3.487 c=11.722 alpha=81.45 beta=81.45 gamma=60.00
Sites, in units of the cell vectors:
Ge 0.000 0.000 0.000
Gd 0.084 0.084 0.748
Gd 0.916 0.916 0.252
Er 0.500 0.500 0.500


(3)
VASP calculation (PBE) on crystalline Gd2ErGe at its relaxed geometry.

## Properties
Magnetic moment   15.09 μB per formula unit
Symmetry   P4/mmm, No. 123
Density   8.94 Mg/m³

Unit cell a=4.726 b=4.668 c=4.668 alpha=90.00 beta=90.00 gamma=90.00
Sites, in units of the cell vectors:
Ge 0.500 0.500 0.500
Gd 0.000 0.000 0.500
Gd 0.000 0.500 0.000
Er 0.500 0.000 0.000


Which one sits at the top of the stability order? (3) does.


(1)
VASP calculation (PBE) on crystalline GdEr2Ge at its relaxed geometry.

## Properties
Magnetic moment   7.47 μB per formula unit
Symmetry   P4/mmm, No. 123
Density   9.29 Mg/m³

Unit cell a=4.614 b=4.677 c=4.677 alpha=90.00 beta=90.00 gamma=90.00
Sites, in units of the cell vectors:
Ge 0.500 0.500 0.500
Gd 0.500 0.000 0.000
Er 0.000 0.000 0.500
Er 0.000 0.500 0.000


(2)
VASP calculation (PBE) on crystalline GdEr2Ge at its relaxed geometry.

## Properties
Magnetic moment   7.97 μB per formula unit
Symmetry   R-3m, No. 166
Density   8.23 Mg/m³

Unit cell a=3.627 b=3.627 c=10.215 alpha=79.77 beta=79.77 gamma=60.00
Sites, in units of the cell vectors:
Ge 0.000 0.000 0.000
Gd 0.500 0.500 0.500
Er 0.266 0.266 0.202
Er 0.734 0.734 0.798


Which one sits at the top of the stability order? (1) does.


(1)
VASP calculation (PBE) on crystalline GdEr2Hg at its relaxed geometry.

## Properties
Magnetic moment   7.53 μB per formula unit
Symmetry   P4/mmm, No. 123
Density   10.10 Mg/m³

Unit cell a=3.574 b=3.574 c=8.909 alpha=90.00 beta=90.00 gamma=90.00
Sites, in units of the cell vectors:
Gd 0.500 0.500 0.500
Hg 0.500 0.500 0.000
Er 0.000 0.000 0.780
Er 0.000 0.000 0.220


(2)
VASP calculation (PBE) on crystalline GdEr2Hg at its relaxed geometry.

## Properties
Magnetic moment   7.27 μB per formula unit
Symmetry   R-3m, No. 166
Density   9.84 Mg/m³

Unit cell a=3.580 b=3.580 c=10.732 alpha=80.40 beta=80.40 gamma=60.00
Sites, in units of the cell vectors:
Gd 0.500 0.500 0.500
Hg 0.000 0.000 0.000
Er 0.258 0.258 0.226
Er 0.742 0.742 0.774


(3)
VASP calculation (PBE) on crystalline GdEr2Hg at its relaxed geometry.

## Properties
Magnetic moment   7.92 μB per formula unit
Symmetry   P4/mmm, No. 123
Density   10.48 Mg/m³

Unit cell a=4.736 b=4.812 c=4.812 alpha=90.00 beta=90.00 gamma=90.00
Sites, in units of the cell vectors:
Gd 0.500 0.500 0.500
Hg 0.500 0.000 0.000
Er 0.000 0.000 0.500
Er 0.000 0.500 0.000


Which one sits at the top of the stability order? (1) does.


(1)
VASP calculation (PBE) on crystalline GdHoEr2 at its relaxed geometry.

## Properties
Magnetic moment   7.26 μB per formula unit
Symmetry   R-3m, No. 166
Density   8.77 Mg/m³

Unit cell a=3.532 b=3.532 c=11.682 alpha=81.30 beta=81.30 gamma=60.00
Sites, in units of the cell vectors:
Gd 0.500 0.500 0.500
Ho 0.000 0.000 0.000
Er 0.749 0.749 0.752
Er 0.251 0.251 0.248


(2)
VASP calculation (PBE) on crystalline GdHoEr2 at its relaxed geometry.

## Properties
Magnetic moment   8.57 μB per formula unit
Symmetry   Fm-3m, No. 225
Density   8.65 Mg/m³

Unit cell a=5.629 b=5.629 c=5.629 alpha=60.00 beta=60.00 gamma=60.00
Sites, in units of the cell vectors:
Gd 0.500 0.500 0.500
Ho 0.000 0.000 0.000
Er 0.250 0.250 0.250
Er 0.750 0.750 0.750


Which one sits at the top of the stability order? (1) does.


(1)
VASP calculation (PBE) on crystalline GdEr2Ir at its relaxed geometry.

## Properties
Magnetic moment   7.96 μB per formula unit
Symmetry   P4/mmm, No. 123
Density   10.82 Mg/m³

Unit cell a=3.462 b=3.462 c=8.755 alpha=90.00 beta=90.00 gamma=90.00
Sites, in units of the cell vectors:
Gd 0.500 0.500 0.500
Ir 0.500 0.500 0.000
Er 0.000 0.000 0.816
Er 0.000 0.000 0.184


(2)
VASP calculation (PBE) on crystalline GdEr2Ir at its relaxed geometry.

## Properties
Magnetic moment   8.43 μB per formula unit
Symmetry   R-3m, No. 166
Density   9.49 Mg/m³

Unit cell a=3.883 b=3.883 c=9.432 alpha=78.12 beta=78.12 gamma=60.00
Sites, in units of the cell vectors:
Gd 0.500 0.500 0.500
Ir 0.000 0.000 0.000
Er 0.277 0.277 0.170
Er 0.723 0.723 0.830


Which one sits at the top of the stability order? (1) does.


(1)
VASP calculation (PBE) on crystalline LaGd2Er at its relaxed geometry.

## Properties
Magnetic moment   14.87 μB per formula unit
Symmetry   P4/mmm, No. 123
Density   7.78 Mg/m³

Unit cell a=5.117 b=5.089 c=5.089 alpha=90.00 beta=90.00 gamma=90.00
Sites, in units of the cell vectors:
Gd 0.000 0.000 0.500
Gd 0.000 0.500 0.000
La 0.500 0.500 0.500
Er 0.500 0.000 0.000


(2)
VASP calculation (PBE) on crystalline LaGd2Er at its relaxed geometry.

## Properties
Magnetic moment   16.39 μB per formula unit
Symmetry   Fm-3m, No. 225
Density   7.71 Mg/m³

Unit cell a=5.738 b=5.738 c=5.738 alpha=60.00 beta=60.00 gamma=60.00
Sites, in units of the cell vectors:
Gd 0.250 0.250 0.250
Gd 0.750 0.750 0.750
La 0.500 0.500 0.500
Er 0.000 0.000 0.000


(3)
VASP calculation (PBE) on crystalline LaGd2Er at its relaxed geometry.

## Properties
Magnetic moment   14.82 μB per formula unit
Symmetry   P4/mmm, No. 123
Density   7.77 Mg/m³

Unit cell a=3.613 b=3.613 c=10.165 alpha=90.00 beta=90.00 gamma=90.00
Sites, in units of the cell vectors:
Gd 0.000 0.000 0.759
Gd 0.000 0.000 0.241
La 0.500 0.500 0.500
Er 0.500 0.500 0.000


Which one sits at the top of the stability order? (1) does.


(1)
VASP calculation (PBE) on crystalline La2GdEr at its relaxed geometry.

## Properties
Magnetic moment   7.22 μB per formula unit
Symmetry   R-3m, No. 166
Density   7.33 Mg/m³

Unit cell a=3.664 b=3.664 c=11.931 alpha=81.17 beta=81.17 gamma=60.00
Sites, in units of the cell vectors:
Gd 0.500 0.500 0.500
La 0.749 0.749 0.753
La 0.251 0.251 0.247
Er 0.000 0.000 0.000


(2)
VASP calculation (PBE) on crystalline La2GdEr at its relaxed geometry.

## Properties
Magnetic moment   7.81 μB per formula unit
Symmetry   Fm-3m, No. 225
Density   7.22 Mg/m³

Unit cell a=5.809 b=5.809 c=5.809 alpha=60.00 beta=60.00 gamma=60.00
Sites, in units of the cell vectors:
Gd 0.500 0.500 0.500
La 0.250 0.250 0.250
La 0.750 0.750 0.750
Er 0.000 0.000 0.000


Which one sits at the top of the stability order? (1) does.


(1)
VASP calculation (PBE) on crystalline LiGdEr2 at its relaxed geometry.

## Properties
Magnetic moment   7.25 μB per formula unit
Symmetry   P4/mmm, No. 123
Density   7.33 Mg/m³

Unit cell a=3.583 b=3.583 c=8.797 alpha=90.00 beta=90.00 gamma=90.00
Sites, in units of the cell vectors:
Gd 0.500 0.500 0.500
Li 0.500 0.500 0.000
Er 0.000 0.000 0.780
Er 0.000 0.000 0.220


(2)
VASP calculation (PBE) on crystalline LiGdEr2 at its relaxed geometry.

## Properties
Magnetic moment   7.32 μB per formula unit
Symmetry   P4/mmm, No. 123
Density   7.22 Mg/m³

Unit cell a=3.713 b=5.557 c=5.557 alpha=90.00 beta=90.00 gamma=90.00
Sites, in units of the cell vectors:
Gd 0.500 0.000 0.000
Li 0.500 0.500 0.500
Er 0.000 0.000 0.500
Er 0.000 0.500 0.000


(3)
VASP calculation (PBE) on crystalline LiGdEr2 at its relaxed geometry.

## Properties
Magnetic moment   7.19 μB per formula unit
Symmetry   Fm-3m, No. 225
Density   7.24 Mg/m³

Unit cell a=5.449 b=5.449 c=5.449 alpha=60.00 beta=60.00 gamma=60.00
Sites, in units of the cell vectors:
Gd 0.000 0.000 0.000
Li 0.500 0.500 0.500
Er 0.250 0.250 0.250
Er 0.750 0.750 0.750


Which one sits at the top of the stability order? (1) does.